Crystalline Na2CrCoO4 at its relaxed geometry, computed with PBE with a Hubbard U.

Cell: 5.140 2.986 5.596 Å, 90.00 107.96 90.00°
Atoms (fractional coordinates):
Na (0.000, 0.000, 0.000)
Na (0.500, 0.500, 0.000)
Cr (0.000, 0.500, 0.500)
Co (0.500, 0.000, 0.500)
O (0.239, 0.000, 0.697)
O (0.277, 0.500, 0.307)
O (0.723, 0.500, 0.693)
O (0.761, 0.000, 0.303)

## Properties
**Crystal system**: monoclinic
**Fermi-level density of states**: 0.00 states/eV/atom
**Space-group type**: No. 10
**Raw total energy**: -47.74 eV/f.u.